No. 1
The following is a DFT calculation (PBE) of YMnSe after structural relaxation.

Unit cell a=6.809 b=6.809 c=6.809 alpha=90.00 beta=90.00 gamma=90.00
Element x y z (fractional)
Y1 0.000 0.000 0.000
Y2 0.000 0.500 0.500
Y3 0.500 0.000 0.500
Y4 0.500 0.500 0.000
Mn1 0.250 0.250 0.250
Mn2 0.250 0.750 0.750
Mn3 0.750 0.250 0.750
Mn4 0.750 0.750 0.250
Se1 0.250 0.250 0.750
Se2 0.250 0.750 0.250
Se3 0.750 0.250 0.250
Se4 0.750 0.750 0.750

## Properties
Energy relative to the lowest polymorph listed for this composition: 0.640 eV/atom
Total magnetic moment: 15.88 Bohr magnetons per cell
Raw formation energy: 0.027 eV/atom
Final energy: -76.1 eV for the cell shown


No. 2
The following is a DFT calculation (PBE) of OsRu after structural relaxation.

Unit cell a=2.720 b=2.720 c=26.572 alpha=90.00 beta=90.00 gamma=120.00
Element x y z (fractional)
Os1 0.000 0.000 0.125
Os2 0.000 0.000 0.875
Os3 0.333 0.667 0.542
Os4 0.333 0.667 0.792
Os5 0.667 0.333 0.208
Os6 0.667 0.333 0.458
Ru1 0.000 0.000 0.375
Ru2 0.000 0.000 0.625
Ru3 0.333 0.667 0.042
Ru4 0.333 0.667 0.292
Ru5 0.667 0.333 0.708
Ru6 0.667 0.333 0.958

## Properties
Total magnetic moment: 0.00 Bohr magnetons per cell
Final energy: -121.3 eV for the cell shown